1.
First-principles (PBE) data for a geometry-optimized Ho2InNi2 structure, as listed in Alexandria via LeMat-Bulk.

Results
ΔH_f (0 K) (eV/f.u.): -2.608
Crystal system: tetragonal
E_tot (eV/atom): -5.213
Space-group type: P4/mbm, No. 127

abc: 7.367 7.367 3.651
angles: 90.00 90.00 90.00
Sites, in units of the cell vectors:
Ho  0.175  0.325  0.000
Ho  0.325  0.825  0.000
Ho  0.675  0.175  0.000
Ho  0.825  0.675  0.000
In  0.000  0.000  0.500
In  0.500  0.500  0.500
Ni  0.120  0.620  0.500
Ni  0.380  0.120  0.500
Ni  0.620  0.880  0.500
Ni  0.880  0.380  0.500



2.
First-principles (PBE) data for a geometry-optimized Ho8InNi2 structure, as listed in Alexandria via LeMat-Bulk.

Results
ΔH_f (0 K) (eV/f.u.): -1.998
Crystal system: monoclinic
E_tot (eV/atom): -4.811
Space-group type: C2/m, No. 12

abc: 7.914 7.914 5.274
angles: 97.60 97.60 114.19
Sites, in units of the cell vectors:
Ho  0.075  0.331  0.574
Ho  0.249  0.751  0.000
Ho  0.331  0.075  0.574
Ho  0.392  0.392  0.196
Ho  0.608  0.608  0.804
Ho  0.669  0.925  0.426
Ho  0.751  0.249  0.000
Ho  0.925  0.669  0.426
In  0.000  0.000  0.000
Ni  0.306  0.694  0.500
Ni  0.694  0.306  0.500



3.
First-principles (PBE) data for a geometry-optimized Ho2In5Ni3 structure, as listed in Alexandria via LeMat-Bulk.

Results
ΔH_f (0 K) (eV/f.u.): -3.634
Crystal system: orthorhombic
E_tot (eV/atom): -4.383
Space-group type: Cmc2_1, No. 36

abc: 13.217 13.217 7.108
angles: 90.00 90.00 161.07
Sites, in units of the cell vectors:
Ho  0.024  0.976  0.500
Ho  0.326  0.674  0.579
Ho  0.674  0.326  0.079
Ho  0.976  0.024  0.000
In  0.096  0.904  0.876
In  0.207  0.793  0.375
In  0.210  0.790  0.786
In  0.375  0.625  0.032
In  0.447  0.553  0.670
In  0.553  0.447  0.170
In  0.625  0.375  0.532
In  0.790  0.210  0.286
In  0.793  0.207  0.875
In  0.904  0.096  0.376
Ni  0.110  0.890  0.255
Ni  0.271  0.729  0.082
Ni  0.456  0.544  0.279
Ni  0.544  0.456  0.779
Ni  0.729  0.271  0.582
Ni  0.890  0.110  0.755



4.
First-principles (PBE) data for a geometry-optimized HoIn2Ni structure, as listed in Alexandria via LeMat-Bulk.

Results
ΔH_f (0 K) (eV/f.u.): -0.990
Crystal system: tetragonal
E_tot (eV/atom): -4.207
Space-group type: P4/mmm, No. 123

abc: 3.311 3.311 7.536
angles: 90.00 90.00 90.00
Sites, in units of the cell vectors:
Ho  0.000  0.000  0.000
In  0.500  0.500  0.301
In  0.500  0.500  0.699
Ni  0.000  0.000  0.500